# O

Crystalline O at its relaxed geometry (PBE-GGA, Alexandria via LeMat-Bulk).

## Properties
Space group = Pmmn

CIF file:
```
data_O
_cell_length_a 12.445
_cell_length_b 3.596
_cell_length_c 4.669
_cell_angle_alpha 90.00
_cell_angle_beta 90.00
_cell_angle_gamma 90.00
_space_group_name_H-M_alt 'P 1'
_space_group_IT_number 1
_space_group_name_Hall 'P 1'
loop_
_atom_site_label
_atom_site_type_symbol
_atom_site_fract_x
_atom_site_fract_y
_atom_site_fract_z
_atom_site_occupancy
O1 O 0.697 0.982 0.500 1
O2 O 0.303 0.982 0.500 1
O3 O 0.500 0.415 0.132 1
O4 O 0.197 0.018 0.000 1
O5 O 0.215 0.135 0.500 1
O6 O 0.715 0.865 0.000 1
O7 O 0.803 0.018 0.000 1
O8 O 0.785 0.135 0.500 1
O9 O 0.285 0.865 0.000 1
O10 O 0.000 0.585 0.368 1
O11 O 0.000 0.585 0.632 1
O12 O 0.500 0.415 0.868 1
```


# O

Crystalline O at its relaxed geometry (PBE-GGA, Alexandria via LeMat-Bulk).

## Properties
Space group = C222_1

CIF file:
```
data_O
_cell_length_a 9.557
_cell_length_b 5.325
_cell_length_c 4.838
_cell_angle_alpha 90.00
_cell_angle_beta 90.00
_cell_angle_gamma 90.00
_space_group_name_H-M_alt 'P 1'
_space_group_IT_number 1
_space_group_name_Hall 'P 1'
loop_
_atom_site_label
_atom_site_type_symbol
_atom_site_fract_x
_atom_site_fract_y
_atom_site_fract_z
_atom_site_occupancy
O1 O 0.836 0.184 0.461 1
O2 O 0.965 0.206 0.449 1
O3 O 0.336 0.316 0.539 1
O4 O 0.535 0.294 0.949 1
O5 O 0.965 0.794 0.551 1
O6 O 0.164 0.816 0.961 1
O7 O 0.535 0.706 0.051 1
O8 O 0.035 0.206 0.051 1
O9 O 0.836 0.816 0.539 1
O10 O 0.465 0.294 0.551 1
O11 O 0.336 0.684 0.461 1
O12 O 0.035 0.794 0.949 1
O13 O 0.164 0.184 0.039 1
O14 O 0.465 0.706 0.449 1
O15 O 0.664 0.684 0.039 1
O16 O 0.664 0.316 0.961 1
```


# O

Crystalline O at its relaxed geometry (PBE-GGA, Alexandria via LeMat-Bulk).

## Properties
Space group = P-1

CIF file:
```
data_O
_cell_length_a 2.517
_cell_length_b 2.517
_cell_length_c 4.458
_cell_angle_alpha 104.30
_cell_angle_beta 91.16
_cell_angle_gamma 120.03
_space_group_name_H-M_alt 'P 1'
_space_group_IT_number 1
_space_group_name_Hall 'P 1'
loop_
_atom_site_label
_atom_site_type_symbol
_atom_site_fract_x
_atom_site_fract_y
_atom_site_fract_z
_atom_site_occupancy
O1 O 0.549 0.088 0.644 1
O2 O 0.451 0.912 0.356 1
```


# O

Crystalline O at its relaxed geometry (PBE-GGA, Alexandria via LeMat-Bulk).

## Properties
Space group = P4_12_12

CIF file:
```
data_O
_cell_length_a 4.251
_cell_length_b 4.251
_cell_length_c 9.291
_cell_angle_alpha 90.00
_cell_angle_beta 90.00
_cell_angle_gamma 90.00
_space_group_name_H-M_alt 'P 1'
_space_group_IT_number 1
_space_group_name_Hall 'P 1'
loop_
_atom_site_label
_atom_site_type_symbol
_atom_site_fract_x
_atom_site_fract_y
_atom_site_fract_z
_atom_site_occupancy
O1 O 0.056 0.126 0.219 1
O2 O 0.626 0.444 0.969 1
O3 O 0.556 0.374 0.531 1
O4 O 0.374 0.556 0.469 1
O5 O 0.444 0.626 0.031 1
O6 O 0.944 0.874 0.719 1
O7 O 0.126 0.056 0.781 1
O8 O 0.874 0.944 0.281 1
```


# O

Crystalline O at its relaxed geometry (PBE-GGA, Alexandria via LeMat-Bulk).

## Properties
Space group = R3c

CIF file:
```
data_O
_cell_length_a 5.263
_cell_length_b 5.263
_cell_length_c 5.263
_cell_angle_alpha 66.74
_cell_angle_beta 66.74
_cell_angle_gamma 66.74
_space_group_name_H-M_alt 'P 1'
_space_group_IT_number 1
_space_group_name_Hall 'P 1'
loop_
_atom_site_label
_atom_site_type_symbol
_atom_site_fract_x
_atom_site_fract_y
_atom_site_fract_z
_atom_site_occupancy
O1 O 0.447 0.576 0.737 1
O2 O 0.947 0.237 0.076 1
O3 O 0.576 0.737 0.447 1
O4 O 0.237 0.076 0.947 1
O5 O 0.076 0.947 0.237 1
O6 O 0.737 0.447 0.576 1
```


# O

Crystalline O at its relaxed geometry (PBE-GGA, Alexandria via LeMat-Bulk).

## Properties
Space group = P3_121

CIF file:
```
data_O
_cell_length_a 3.979
_cell_length_b 3.979
_cell_length_c 3.109
_cell_angle_alpha 90.00
_cell_angle_beta 90.00
_cell_angle_gamma 120.00
_space_group_name_H-M_alt 'P 1'
_space_group_IT_number 1
_space_group_name_Hall 'P 1'
loop_
_atom_site_label
_atom_site_type_symbol
_atom_site_fract_x
_atom_site_fract_y
_atom_site_fract_z
_atom_site_occupancy
O1 O 0.854 0.000 0.000 1
O2 O 0.000 0.854 0.333 1
O3 O 0.146 0.146 0.667 1
```


# O

Crystalline O at its relaxed geometry (PBE-GGA, Alexandria via LeMat-Bulk).

## Properties
Space group = P4_12_12

CIF file:
```
data_O
_cell_length_a 5.278
_cell_length_b 5.278
_cell_length_c 6.595
_cell_angle_alpha 90.00
_cell_angle_beta 90.00
_cell_angle_gamma 90.00
_space_group_name_H-M_alt 'P 1'
_space_group_IT_number 1
_space_group_name_Hall 'P 1'
loop_
_atom_site_label
_atom_site_type_symbol
_atom_site_fract_x
_atom_site_fract_y
_atom_site_fract_z
_atom_site_occupancy
O1 O 0.010 0.990 0.250 1
O2 O 0.510 0.510 0.500 1
O3 O 0.776 0.935 0.284 1
O4 O 0.724 0.435 0.966 1
O5 O 0.935 0.776 0.716 1
O6 O 0.435 0.724 0.034 1
O7 O 0.065 0.224 0.216 1
O8 O 0.990 0.010 0.750 1
O9 O 0.565 0.276 0.534 1
O10 O 0.276 0.565 0.466 1
O11 O 0.490 0.490 0.000 1
O12 O 0.224 0.065 0.784 1
```


# O

Crystalline O at its relaxed geometry (PBE-GGA, Alexandria via LeMat-Bulk).

## Properties
Space group = Pbca

CIF file:
```
data_O
_cell_length_a 6.835
_cell_length_b 7.352
_cell_length_c 7.918
_cell_angle_alpha 90.00
_cell_angle_beta 90.00
_cell_angle_gamma 90.00
_space_group_name_H-M_alt 'P 1'
_space_group_IT_number 1
_space_group_name_Hall 'P 1'
loop_
_atom_site_label
_atom_site_type_symbol
_atom_site_fract_x
_atom_site_fract_y
_atom_site_fract_z
_atom_site_occupancy
O1 O 0.650 0.168 0.384 1
O2 O 0.963 0.957 0.825 1
O3 O 0.256 0.129 0.987 1
O4 O 0.537 0.457 0.825 1
O5 O 0.850 0.668 0.384 1
O6 O 0.244 0.871 0.487 1
O7 O 0.537 0.043 0.325 1
O8 O 0.244 0.629 0.987 1
O9 O 0.850 0.832 0.884 1
O10 O 0.756 0.129 0.513 1
O11 O 0.256 0.371 0.487 1
O12 O 0.650 0.332 0.884 1
O13 O 0.744 0.629 0.513 1
O14 O 0.963 0.543 0.325 1
O15 O 0.150 0.168 0.116 1
O16 O 0.463 0.957 0.675 1
O17 O 0.150 0.332 0.616 1
O18 O 0.744 0.871 0.013 1
O19 O 0.350 0.832 0.616 1
O20 O 0.037 0.043 0.175 1
O21 O 0.037 0.457 0.675 1
O22 O 0.463 0.543 0.175 1
O23 O 0.350 0.668 0.116 1
O24 O 0.756 0.371 0.013 1
```


# O

Crystalline O at its relaxed geometry (PBE-GGA, Alexandria via LeMat-Bulk).

## Properties
Space group = P2/m

CIF file:
```
data_O
_cell_length_a 1.529
_cell_length_b 3.410
_cell_length_c 3.536
_cell_angle_alpha 67.24
_cell_angle_beta 90.00
_cell_angle_gamma 90.00
_space_group_name_H-M_alt 'P 1'
_space_group_IT_number 1
_space_group_name_Hall 'P 1'
loop_
_atom_site_label
_atom_site_type_symbol
_atom_site_fract_x
_atom_site_fract_y
_atom_site_fract_z
_atom_site_occupancy
O1 O 0.500 0.000 0.500 1
```


# O

Crystalline O at its relaxed geometry (PBE-GGA, Alexandria via LeMat-Bulk).

## Properties
Space group = P-1

CIF file:
```
data_O
_cell_length_a 3.097
_cell_length_b 4.429
_cell_length_c 4.682
_cell_angle_alpha 66.22
_cell_angle_beta 87.85
_cell_angle_gamma 75.73
_space_group_name_H-M_alt 'P 1'
_space_group_IT_number 1
_space_group_name_Hall 'P 1'
loop_
_atom_site_label
_atom_site_type_symbol
_atom_site_fract_x
_atom_site_fract_y
_atom_site_fract_z
_atom_site_occupancy
O1 O 0.218 0.562 0.675 1
O2 O 0.319 0.278 0.670 1
O3 O 0.782 0.438 0.325 1
O4 O 0.681 0.722 0.330 1
```


# O

Crystalline O at its relaxed geometry (PBE-GGA, Alexandria via LeMat-Bulk).

## Properties
Space group = Im-3m

CIF file:
```
data_O
_cell_length_a 2.165
_cell_length_b 2.165
_cell_length_c 2.165
_cell_angle_alpha 109.47
_cell_angle_beta 109.47
_cell_angle_gamma 109.47
_space_group_name_H-M_alt 'P 1'
_space_group_IT_number 1
_space_group_name_Hall 'P 1'
loop_
_atom_site_label
_atom_site_type_symbol
_atom_site_fract_x
_atom_site_fract_y
_atom_site_fract_z
_atom_site_occupancy
O1 O 0.000 0.000 0.000 1
```


# O

Crystalline O at its relaxed geometry (PBE-GGA, Alexandria via LeMat-Bulk).

## Properties
Space group = Fd-3m

CIF file:
```
data_O
_cell_length_a 3.110
_cell_length_b 3.110
_cell_length_c 3.110
_cell_angle_alpha 60.00
_cell_angle_beta 60.00
_cell_angle_gamma 60.00
_space_group_name_H-M_alt 'P 1'
_space_group_IT_number 1
_space_group_name_Hall 'P 1'
loop_
_atom_site_label
_atom_site_type_symbol
_atom_site_fract_x
_atom_site_fract_y
_atom_site_fract_z
_atom_site_occupancy
O1 O 0.000 0.000 0.000 1
O2 O 0.250 0.250 0.250 1
```


The evaluated uncorrected formation energy for the records listed, in turn: 0.087, 0.102, 0.139, 0.023, 0.958, 0.440, 0.457, 0.433, 1.300, 0.000, 2.493, 1.863 eV per atom.
The evaluated electronic total energy for the records listed, in turn: -0.3580, -0.3569, -0.3542, -0.3627, -0.2940, -0.3321, -0.3308, -0.3326, -0.2689, -0.3644, -0.1812, -0.2275 Ry/atom.
The evaluated E above lowest polymorph for the records listed, in turn: 2.01, 2.35, 3.21, 0.54, 22.09, 10.14, 10.54, 9.98, 29.97, 0.00, 57.48, 42.97 kcal/mol of atoms.